{"formula": "RbRe3Os", "functional": "PBE", "state": "relaxed", "lattice": [[4.554, 0.000, 0.000], [0.000, 4.554, 0.000], [0.000, 0.000, 4.554]], "species": ["Rb", "Re", "Re", "Re", "Os"], "fractional_positions": [[0.000, 0.000, 0.000], [0.000, 0.000, 0.500], [0.000, 0.500, 0.000], [0.500, 0.000, 0.000], [0.500, 0.500, 0.500]], "formation_enthalpy_0k_ev_per_atom": 4.36, "m_tot_mub_per_cell": 0.00, "polymorph_energy_ev_per_atom": 2.134, "total_energy_ev_per_cell": -27.76}